Entry 1:
Ca4Cd5Cu2 after structural relaxation, computed with PBE.

Computed properties:
Energy of formation from the pure elements (eV/atom): -0.240
VASP energy (eV/f.u.): -23.42

a b c (Å): 4.018 7.551 9.375
angles (deg): 94.67 90.00 90.00
Fractional positions:
Ca  0.500  0.182  0.857
Cd  0.000  0.439  0.675
Cd  0.000  0.831  0.850
Cd  0.000  0.500  0.000
Cu  0.000  0.938  0.372
Cd  0.000  0.169  0.150
Cu  0.000  0.062  0.628
Ca  0.500  0.764  0.567
Ca  0.500  0.236  0.433
Ca  0.500  0.818  0.143
Cd  0.000  0.561  0.325

---

Entry 2:
NaPmF4 after structural relaxation, computed with PBE.

Computed properties:
Polymorph energy (0 for the lowest one) (meV per atom): 85
VASP energy (eV/f.u.): -35.14

a b c (Å): 6.467 6.467 6.467
angles (deg): 108.30 108.30 111.84
Fractional positions:
F  0.738  0.042  0.304
F  0.738  0.435  0.696
F  0.185  0.988  0.196
Pm  0.490  0.990  0.500
Pm  0.740  0.740  0.000
F  0.264  0.568  0.304
F  0.318  0.514  0.804
F  0.264  0.961  0.696
Na  0.005  0.505  0.500
Na  0.255  0.255  0.000
F  0.711  0.514  0.196
F  0.792  0.988  0.804

---

Entry 3:
Ho3Er4Tl after structural relaxation, computed with PBE.

Computed properties:
Energy of formation from the pure elements (eV/atom): -0.070
VASP energy (eV/f.u.): -34.91

a b c (Å): 6.124 6.963 11.117
angles (deg): 90.00 90.00 90.00
Fractional positions:
Tl  0.151  0.375  0.000
Ho  0.133  0.369  0.500
Tl  0.651  0.625  0.500
Ho  0.473  0.384  0.741
Ho  0.473  0.384  0.259
Er  0.165  0.874  0.000
Ho  0.633  0.631  0.000
Er  0.665  0.126  0.500
Er  0.491  0.875  0.740
Er  0.991  0.125  0.240
Er  0.491  0.875  0.260
Er  0.139  0.871  0.500
Ho  0.973  0.616  0.759
Er  0.991  0.125  0.760
Ho  0.973  0.616  0.241
Er  0.639  0.129  0.000

---

Entry 4:
Cs2SrAg after structural relaxation, computed with PBE.

Computed properties:
Energy of formation from the pure elements (eV/atom): 0.309
Polymorph energy (0 for the lowest one) (meV per atom): 155
VASP energy (eV/f.u.): -5.00

a b c (Å): 7.072 7.072 7.072
angles (deg): 60.00 60.00 60.00
Fractional positions:
Ag  0.500  0.500  0.500
Cs  0.250  0.250  0.250
Cs  0.750  0.750  0.750
Sr  0.000  0.000  0.000